1.
Entry from Alexandria: an optimized crystal structure of PaPd2RhO8 (PBE).

a = 5.1404 Å, b = 5.1404 Å, c = 10.2851 Å
α = 90.00°, β = 90.00°, γ = 90.00°
Space group I-4m2 (No. 119)
Symmetry-distinct sites (fractional):
Pa 0.0000 0.0000 0.0000 x2
Pd 0.0000 0.0000 0.5000 x2
Pd 0.0000 0.5000 0.2500 x2
Rh 0.0000 0.5000 0.7500 x2
O 0.2377 0.2512 0.6307 x16

Energy (eV/atom): -6.6130
Formation energy (no corrections) (eV per atom): -1.0381
Spin magnetization (μB/f.u.): 0.000

=====

2.
Entry from Alexandria: an optimized crystal structure of TaHCl3 (PBE).

a = 12.7809 Å, b = 7.7678 Å, c = 6.3830 Å
α = 90.00°, β = 119.88°, γ = 90.00°
Space group C2 (No. 5)
Symmetry-distinct sites (fractional):
Ta 0.9999 0.0000 0.2336 x4
H 0.0000 0.1584 0.0000 x2
H 0.0000 0.8599 0.5000 x2
Cl 0.0000 0.2378 0.5000 x2
Cl 0.0000 0.7467 0.0000 x2
Cl 0.2068 0.0016 0.4568 x4
Cl 0.2067 0.0015 0.9555 x4

Energy (eV/atom): -4.9979
Offset from the most stable computed form (meV per atom): 0
Spin magnetization (μB/f.u.): 0.000

=====

3.
Entry from Alexandria: an optimized crystal structure of AgRh2Cl (PBE).

a = 2.9190 Å, b = 3.0118 Å, c = 7.8441 Å
α = 90.00°, β = 90.65°, γ = 90.00°
Space group Pm (No. 6)
Symmetry-distinct sites (fractional):
Ag 0.0000 0.0000 0.0000 x1
Rh 0.4921 0.5000 0.7520 x1
Rh 0.9856 0.0000 0.5516 x1
Cl 0.9779 0.5000 0.3063 x1

Energy (eV/atom): -4.6712
Offset from the most stable computed form (meV per atom): 0
Formation energy (no corrections) (eV per atom): 0.1790
Spin magnetization (μB/f.u.): 0.000

=====

4.
Entry from Alexandria: an optimized crystal structure of PrTlO4 (PBE).

a = 5.5310 Å, b = 5.5347 Å, c = 5.7913 Å
α = 90.00°, β = 90.09°, γ = 90.00°
Space group C2/m (No. 12)
Symmetry-distinct sites (fractional):
Pr 0.0000 0.0000 0.0000 x2
Tl 0.0000 0.5000 0.5000 x2
O 0.2494 0.2499 0.7409 x8

Energy (eV/atom): -5.8064
Offset from the most stable computed form (meV per atom): 275
Formation energy (no corrections) (eV per atom): -1.3100
Spin magnetization (μB/f.u.): 2.008

=====

5.
Entry from Alexandria: an optimized crystal structure of CsMgTe (PBE).

a = 5.5437 Å, b = 5.5437 Å, c = 8.1845 Å
α = 90.00°, β = 90.00°, γ = 90.00°
Space group P4/nmm (No. 129, origin choice 2)
Symmetry-distinct sites (fractional):
Cs 0.2500 0.2500 0.1559 x2
Mg 0.2500 0.7500 0.5000 x2
Te 0.2500 0.2500 0.6586 x2

Energy (eV/atom): -2.4417
Offset from the most stable computed form (meV per atom): 81
Formation energy (no corrections) (eV per atom): -0.5784
Spin magnetization (μB/f.u.): 0.000

=====

6.
Entry from Alexandria: an optimized crystal structure of PmVFe (PBE).

a = 3.6356 Å, b = 15.8752 Å, c = 4.1756 Å
α = 90.00°, β = 90.00°, γ = 90.00°
Space group Cmcm (No. 63)
Symmetry-distinct sites (fractional):
Pm 0.0000 0.0885 0.2500 x4
V 0.0000 0.2510 0.7500 x4
Fe 0.0000 0.3333 0.2500 x4

Energy (eV/atom): -7.3518
Energy of formation from the pure elements (eV per atom): 0.092
Spin magnetization (μB/f.u.): 0.000

=====

7.
Entry from Alexandria: an optimized crystal structure of Y2Cl (PBE).

a = 9.3553 Å, b = 9.3553 Å, c = 9.3553 Å
α = 90.00°, β = 90.00°, γ = 90.00°
Space group Fd-3m (No. 227, origin choice 2)
Symmetry-distinct sites (fractional):
Y 0.0000 0.0000 0.0000 x16
Cl 0.1250 0.1250 0.6250 x8

Energy (eV/atom): -4.7323
Offset from the most stable computed form (meV per atom): 1117
Formation energy (no corrections) (eV per atom): 0.1926
Spin magnetization (μB/f.u.): 0.001

=====

8.
Entry from Alexandria: an optimized crystal structure of BaCaMg2Hg4 (PBE).

a = 5.1025 Å, b = 5.1025 Å, c = 29.3357 Å
α = 90.00°, β = 90.00°, γ = 120.00°
Space group R-3m (No. 166, hexagonal axes)
Symmetry-distinct sites (fractional):
Ba 0.0000 0.0000 0.0000 x3
Ca 0.0000 0.0000 0.5000 x3
Mg 0.0000 0.0000 0.2362 x6
Hg 0.0000 0.0000 0.1248 x6
Hg 0.0000 0.0000 0.3936 x6

Energy (eV/atom): -1.4342
Energy of formation from the pure elements (eV per atom): -0.394
Spin magnetization (μB/f.u.): 0.000